This record from the Alexandria database describes a geometry-optimized Ni2HgIr structure. The functional is GGA-PBE.

Computed properties:
The formation energy comes out at 661 meV/atom. The calculation puts the magnetic moment at 0.001 Bohr magnetons per cell.

Cell: 3.8812 3.8812 17.1679 Å, 90.00 90.00 90.00°
Closest atoms and distances in Å follow each position.
Fractional coordinates of all 16 atoms:
1 Ni 0.1927 0.2500 0.1250  2 Ni 2.45, 2 Ir 2.47, 2 Hg 2.64
2 Ni 0.2500 0.6927 0.3750  2 Ni 2.45, 2 Ir 2.47, 2 Hg 2.64
3 Ni 0.2500 0.8073 0.8750  2 Ni 2.45, 2 Ir 2.47, 2 Hg 2.64
4 Ni 0.3073 0.2500 0.6250  2 Ni 2.45, 2 Ir 2.47, 2 Hg 2.64
5 Ni 0.6927 0.7500 0.6250  2 Ni 2.45, 2 Ir 2.47, 2 Hg 2.64
6 Ni 0.7500 0.1927 0.8750  2 Ni 2.45, 2 Ir 2.47, 2 Hg 2.64
7 Ni 0.7500 0.3073 0.3750  2 Ni 2.45, 2 Ir 2.47, 2 Hg 2.64
8 Ni 0.8073 0.7500 0.1250  2 Ni 2.45, 2 Ir 2.47, 2 Hg 2.64
9 Hg 0.0000 0.0000 0.5000  4 Ni 2.64, 4 Ir 2.74
10 Hg 0.0000 0.5000 0.7500  4 Ni 2.64, 4 Ir 2.74
11 Hg 0.5000 0.0000 0.2500  4 Ni 2.64, 4 Ir 2.74
12 Hg 0.5000 0.5000 0.0000  4 Ni 2.64, 4 Ir 2.74
13 Ir 0.0000 0.0000 0.0000  4 Ni 2.47, 4 Hg 2.74
14 Ir 0.0000 0.5000 0.2500  4 Ni 2.47, 4 Hg 2.74
15 Ir 0.5000 0.0000 0.7500  4 Ni 2.47, 4 Hg 2.74
16 Ir 0.5000 0.5000 0.5000  4 Ni 2.47, 4 Hg 2.74